# 1
Density functional theory data (PBE) for an optimized crystal structure of Zr2CuN.

Lattice parameters (Å, degrees): 6.952 6.952 6.952 27.36 27.36 27.36
Fractional coordinates of all 4 atoms:
Zr (0.230, 0.230, 0.230)
Zr (0.770, 0.770, 0.770)
Cu (0.000, 0.000, 0.000)
N (0.500, 0.500, 0.500)

Output
space-group type = R-3m, No. 166
crystal system = trigonal

# 2
Density functional theory data (PBE) for an optimized crystal structure of Zr2CuN.

Lattice parameters (Å, degrees): 6.546 3.534 11.356 90.00 90.00 90.00
Fractional coordinates of all 16 atoms:
Zr (0.168, 0.250, 0.249)
Zr (0.193, 0.250, 0.524)
Zr (0.307, 0.750, 0.024)
Zr (0.332, 0.750, 0.749)
Zr (0.668, 0.250, 0.251)
Zr (0.693, 0.250, 0.976)
Zr (0.807, 0.750, 0.476)
Zr (0.832, 0.750, 0.751)
Cu (0.076, 0.250, 0.880)
Cu (0.424, 0.750, 0.380)
Cu (0.576, 0.250, 0.620)
Cu (0.924, 0.750, 0.120)
N (0.068, 0.750, 0.608)
N (0.432, 0.250, 0.108)
N (0.568, 0.750, 0.892)
N (0.932, 0.250, 0.392)

Output
space-group type = Pnma, No. 62
crystal system = orthorhombic

# 3
Density functional theory data (PBE) for an optimized crystal structure of Zr2CuN.

Lattice parameters (Å, degrees): 5.689 5.689 5.689 113.95 113.95 100.84
Fractional coordinates of all 8 atoms:
Zr (0.057, 0.625, 0.932)
Zr (0.375, 0.307, 0.432)
Zr (0.693, 0.125, 0.068)
Zr (0.875, 0.943, 0.568)
Cu (0.250, 0.750, 0.500)
Cu (0.500, 0.500, 0.000)
N (0.000, 0.000, 0.000)
N (0.750, 0.250, 0.500)

Output
space-group type = I-42d, No. 122
crystal system = tetragonal

# 4
Density functional theory data (PBE) for an optimized crystal structure of Zr4CuN2.

Lattice parameters (Å, degrees): 5.813 5.813 11.726 90.00 90.00 146.66
Fractional coordinates of all 14 atoms:
Zr (0.000, 0.000, 0.000)
Zr (0.000, 0.000, 0.500)
Zr (0.262, 0.738, 0.607)
Zr (0.262, 0.738, 0.893)
Zr (0.428, 0.572, 0.250)
Zr (0.572, 0.428, 0.750)
Zr (0.738, 0.262, 0.107)
Zr (0.738, 0.262, 0.393)
Cu (0.116, 0.884, 0.250)
Cu (0.884, 0.116, 0.750)
N (0.367, 0.633, 0.062)
N (0.367, 0.633, 0.438)
N (0.633, 0.367, 0.562)
N (0.633, 0.367, 0.938)

Output
space-group type = Cmcm, No. 63
crystal system = orthorhombic

# 5
Density functional theory data (PBE) for an optimized crystal structure of ZrCuN2.

Lattice parameters (Å, degrees): 6.067 6.067 6.067 32.28 32.28 32.28
Fractional coordinates of all 4 atoms:
Zr (0.000, 0.000, 0.000)
Cu (0.500, 0.500, 0.500)
N (0.395, 0.395, 0.395)
N (0.605, 0.605, 0.605)

Output
polymorph energy (0 for the lowest one) = 0.0 kJ/mol of atoms
space-group type = R-3m, No. 166
crystal system = trigonal

# 6
Density functional theory data (PBE) for an optimized crystal structure of Zr4CuN.

Lattice parameters (Å, degrees): 7.266 5.255 6.861 90.00 117.55 90.00
Fractional coordinates of all 12 atoms:
Zr (0.131, 0.237, 0.307)
Zr (0.131, 0.263, 0.807)
Zr (0.280, 0.748, 0.141)
Zr (0.280, 0.752, 0.641)
Zr (0.720, 0.248, 0.359)
Zr (0.720, 0.252, 0.859)
Zr (0.869, 0.737, 0.193)
Zr (0.869, 0.763, 0.693)
Cu (0.500, 0.000, 0.000)
Cu (0.500, 0.500, 0.500)
N (0.000, 0.000, 0.500)
N (0.000, 0.500, 0.000)

Output
polymorph energy (0 for the lowest one) = 0.0 kJ/mol of atoms
space-group type = P2_1/c, No. 14
crystal system = monoclinic

# 7
Density functional theory data (PBE) for an optimized crystal structure of Zr4CuN.

Lattice parameters (Å, degrees): 9.734 9.734 6.133 90.00 90.00 158.76
Fractional coordinates of all 12 atoms:
Zr (0.000, 0.000, 0.000)
Zr (0.000, 0.000, 0.500)
Zr (0.188, 0.812, 0.505)
Zr (0.188, 0.812, 0.995)
Zr (0.413, 0.587, 0.250)
Zr (0.587, 0.413, 0.750)
Zr (0.812, 0.188, 0.005)
Zr (0.812, 0.188, 0.495)
Cu (0.411, 0.589, 0.750)
Cu (0.589, 0.411, 0.250)
N (0.289, 0.711, 0.250)
N (0.711, 0.289, 0.750)

Output
polymorph energy (0 for the lowest one) = 9.0 kJ/mol of atoms
space-group type = Cmcm, No. 63
crystal system = orthorhombic

# 8
Density functional theory data (PBE) for an optimized crystal structure of Zr4Cu2N.

Lattice parameters (Å, degrees): 6.096 6.282 7.103 90.00 105.48 90.00
Fractional coordinates of all 14 atoms:
Zr (0.017, 0.004, 0.263)
Zr (0.017, 0.496, 0.263)
Zr (0.393, 0.750, 0.095)
Zr (0.437, 0.750, 0.611)
Zr (0.563, 0.250, 0.389)
Zr (0.607, 0.250, 0.905)
Zr (0.983, 0.504, 0.737)
Zr (0.983, 0.996, 0.737)
Cu (0.225, 0.250, 0.031)
Cu (0.245, 0.250, 0.588)
Cu (0.755, 0.750, 0.412)
Cu (0.775, 0.750, 0.969)
N (0.231, 0.750, 0.803)
N (0.769, 0.250, 0.197)

Output
polymorph energy (0 for the lowest one) = 28.8 kJ/mol of atoms
space-group type = P2_1/m, No. 11
crystal system = monoclinic

We obtain formation energy (no corrections) values of -0.8354, -0.6966, -0.5040, -1.0908, -0.4788, -0.4270, -0.3334, -0.3479 eV per atom for the records listed above, in that order.